*a*
First-principles (GGA-PBE) data for a relaxed Hf3U crystal, as listed in Alexandria via LeMat-Bulk.

Cell: 4.427 4.427 5.541 Å, 113.54 113.54 90.00°
Last column: magnetic moment on the atom in μB.
Atoms (fractional coordinates):
Hf1 0.750 0.250 0.500  0.03
Hf2 0.250 0.750 0.500  0.03
Hf3 0.500 0.500 0.000  0.03
U1 0.000 0.000 0.000  1.46

## Properties
crystal system = tetragonal
space group = I4/mmm, No. 139
calculated volume = 89.59 Å³/f.u.

=====

*b*
First-principles (GGA-PBE) data for a relaxed Hf3U crystal, as listed in Alexandria via LeMat-Bulk.

Cell: 3.033 5.204 5.672 Å, 90.00 90.00 90.00°
Last column: magnetic moment on the atom in μB.
Atoms (fractional coordinates):
Hf1 0.000 0.500 0.307  -0.03
Hf2 0.500 0.000 0.523  -0.03
Hf3 0.500 0.500 0.810  -0.03
U1 0.000 0.000 0.027  1.69

## Properties
crystal system = orthorhombic
space group = Pmm2, No. 25
calculated volume = 89.54 Å³/f.u.

=====

Stability ranking, top entry: *b*; the second entry is 48 meV/atom less favorable.

=====

*a*
First-principles (GGA-PBE) data for a relaxed HfZrU crystal, as listed in Alexandria via LeMat-Bulk.

Cell: 3.019 5.075 5.075 Å, 120.00 90.00 90.00°
Last column: magnetic moment on the atom in μB.
Atoms (fractional coordinates):
Hf1 0.167 0.000 0.000  -0.09
U1 0.166 0.333 0.667  1.91
Zr1 0.667 0.667 0.333  -0.03

## Properties
crystal system = hexagonal
space group = P-6m2, No. 187
calculated volume = 67.35 Å³/f.u.

=====

*b*
First-principles (GGA-PBE) data for a relaxed HfZrU crystal, as listed in Alexandria via LeMat-Bulk.

Cell: 3.522 3.522 5.897 Å, 107.37 107.37 90.00°
Last column: magnetic moment on the atom in μB.
Atoms (fractional coordinates):
Hf1 0.609 0.609 0.219  0.00
U1 0.947 0.947 0.893  1.28
Zr1 0.294 0.294 0.588  0.04

## Properties
crystal system = tetragonal
space group = I4mm, No. 107
calculated volume = 66.28 Å³/f.u.

=====

Stability ranking, top entry: *a*; the second entry is 112 meV/atom less favorable.

=====

*a*
First-principles (GGA-PBE) data for a relaxed HfV crystal, as listed in Alexandria via LeMat-Bulk.

Cell: 6.814 8.458 10.371 Å, 90.00 90.00 90.00°
Atoms (fractional coordinates):
Hf1 0.000 0.816 0.000
Hf2 0.000 0.184 0.000
Hf3 0.250 0.934 0.250
Hf4 0.250 0.566 0.250
Hf5 0.000 0.316 0.500
Hf6 0.000 0.684 0.500
Hf7 0.250 0.434 0.750
Hf8 0.250 0.066 0.750
Hf9 0.500 0.816 0.500
Hf10 0.500 0.184 0.500
Hf11 0.750 0.934 0.750
Hf12 0.750 0.566 0.750
Hf13 0.500 0.316 0.000
Hf14 0.500 0.684 0.000
Hf15 0.750 0.434 0.250
Hf16 0.750 0.066 0.250
V1 0.345 0.000 0.000
V2 0.655 0.000 0.000
V3 0.905 0.750 0.250
V4 0.595 0.750 0.250
V5 0.345 0.500 0.500
V6 0.655 0.500 0.500
V7 0.905 0.250 0.750
V8 0.595 0.250 0.750
V9 0.845 0.000 0.500
V10 0.155 0.000 0.500
V11 0.405 0.750 0.750
V12 0.095 0.750 0.750
V13 0.845 0.500 0.000
V14 0.155 0.500 0.000
V15 0.405 0.250 0.250
V16 0.095 0.250 0.250

## Properties
crystal system = orthorhombic
space group = Fddd, No. 70
calculated volume = 37.36 Å³/f.u.

=====

*b*
First-principles (GGA-PBE) data for a relaxed HfV crystal, as listed in Alexandria via LeMat-Bulk.

Cell: 9.660 9.660 3.462 Å, 90.00 90.00 90.00°
Atoms (fractional coordinates):
Hf1 0.813 0.500 0.000
Hf2 0.187 0.500 0.000
Hf3 0.500 0.187 0.000
Hf4 0.500 0.813 0.000
Hf5 0.313 0.000 0.500
Hf6 0.687 0.000 0.500
Hf7 0.000 0.687 0.500
Hf8 0.000 0.313 0.500
V1 0.186 0.186 0.000
V2 0.186 0.814 0.000
V3 0.814 0.186 0.000
V4 0.814 0.814 0.000
V5 0.686 0.686 0.500
V6 0.686 0.314 0.500
V7 0.314 0.686 0.500
V8 0.314 0.314 0.500

## Properties
crystal system = tetragonal
space group = I4/mmm, No. 139
calculated volume = 40.38 Å³/f.u.

=====

Stability ranking, top entry: *b*; the second entry is 47 meV/atom less favorable.

=====

*a*
First-principles (GGA-PBE) data for a relaxed HfV crystal, as listed in Alexandria via LeMat-Bulk.

Cell: 3.316 3.316 3.316 Å, 90.00 90.00 90.00°
Last column: magnetic moment on the atom in μB.
Atoms (fractional coordinates):
Hf1 0.000 0.000 0.000  0.27
V1 0.500 0.500 0.500  1.60

## Properties
crystal system = cubic
space group = Pm-3m, No. 221
calculated volume = 36.46 Å³/f.u.

=====

*b*
First-principles (GGA-PBE) data for a relaxed HfV crystal, as listed in Alexandria via LeMat-Bulk.

Cell: 5.392 5.392 5.392 Å, 90.00 90.00 90.00°
Last column: magnetic moment on the atom in μB.
Atoms (fractional coordinates):
Hf1 0.500 0.500 0.500  0.06
Hf2 0.500 0.000 0.000  0.06
Hf3 0.000 0.500 0.000  0.06
Hf4 0.000 0.000 0.500  0.06
V1 0.000 0.000 0.000  0.57
V2 0.000 0.500 0.500  0.57
V3 0.500 0.000 0.500  0.57
V4 0.500 0.500 0.000  0.57

## Properties
crystal system = cubic
space group = Fm-3m, No. 225
calculated volume = 39.20 Å³/f.u.

=====

*c*
First-principles (GGA-PBE) data for a relaxed HfV crystal, as listed in Alexandria via LeMat-Bulk.

Cell: 12.517 3.133 5.661 Å, 90.00 90.00 90.00°
Atoms (fractional coordinates):
Hf1 0.800 0.000 0.177
Hf2 0.200 0.000 0.177
Hf3 0.300 0.500 0.677
Hf4 0.700 0.500 0.677
Hf5 0.000 0.500 0.942
Hf6 0.500 0.000 0.442
V1 0.886 0.000 0.640
V2 0.114 0.000 0.640
V3 0.386 0.500 0.140
V4 0.614 0.500 0.140
V5 0.000 0.500 0.427
V6 0.500 0.000 0.927

## Properties
crystal system = orthorhombic
space group = Imm2, No. 44
calculated volume = 37.01 Å³/f.u.

=====

Stability ranking, top entry: *a*; the second entry is 82 meV/atom less favorable.

=====

*a*
First-principles (GGA-PBE) data for a relaxed HfV6 crystal, as listed in Alexandria via LeMat-Bulk.

Cell: 5.141 8.270 9.954 Å, 90.00 90.00 90.00°
Atoms (fractional coordinates):
Hf1 0.750 0.250 0.926
Hf2 0.250 0.750 0.074
Hf3 0.750 0.750 0.574
Hf4 0.250 0.250 0.426
V1 0.750 0.600 0.016
V2 0.250 0.400 0.984
V3 0.750 0.100 0.484
V4 0.250 0.900 0.516
V5 0.010 0.437 0.189
V6 0.510 0.563 0.811
V7 0.490 0.937 0.311
V8 0.990 0.063 0.689
V9 0.990 0.563 0.811
V10 0.490 0.437 0.189
V11 0.510 0.063 0.689
V12 0.010 0.937 0.311
V13 0.250 0.137 0.128
V14 0.750 0.863 0.872
V15 0.250 0.637 0.372
V16 0.750 0.363 0.628
V17 0.250 0.807 0.748
V18 0.750 0.193 0.252
V19 0.250 0.307 0.752
V20 0.750 0.693 0.248
V21 0.250 0.549 0.588
V22 0.750 0.451 0.412
V23 0.250 0.049 0.912
V24 0.750 0.951 0.088

## Properties
crystal system = orthorhombic
space group = Pnma, No. 62
calculated volume = 105.81 Å³/f.u.

=====

*b*
First-principles (GGA-PBE) data for a relaxed HfV6 crystal, as listed in Alexandria via LeMat-Bulk.

Cell: 5.584 5.584 5.584 Å, 109.47 109.47 109.47°
Last column: magnetic moment on the atom in μB.
Atoms (fractional coordinates):
Hf1 0.000 0.000 0.000  -0.18
V1 0.250 0.750 0.500  1.47
V2 0.500 0.750 0.250  1.47
V3 0.250 0.500 0.750  1.47
V4 0.750 0.250 0.500  1.47
V5 0.500 0.250 0.750  1.47
V6 0.750 0.500 0.250  1.47

## Properties
crystal system = cubic
space group = Im-3m, No. 229
calculated volume = 134.01 Å³/f.u.

=====

Stability ranking, top entry: *a*; the second entry is 1546 meV/atom less favorable.

=====

*a*
First-principles (GGA-PBE) data for a relaxed HfV2W crystal, as listed in Alexandria via LeMat-Bulk.

Cell: 7.077 7.077 5.717 Å, 51.76 51.76 90.00°
Atoms (fractional coordinates):
Hf1 0.500 0.500 0.000
Hf2 0.250 0.750 0.500
W1 0.000 0.000 0.000
W2 0.750 0.250 0.500
V1 0.652 0.125 0.250
V2 0.098 0.625 0.250
V3 0.375 0.348 0.750
V4 0.875 0.902 0.750

## Properties
crystal system = tetragonal
space group = I-42d, No. 122
calculated volume = 69.24 Å³/f.u.

=====

*b*
First-principles (GGA-PBE) data for a relaxed HfV2W crystal, as listed in Alexandria via LeMat-Bulk.

Cell: 3.007 3.007 8.739 Å, 80.09 80.09 60.00°
Atoms (fractional coordinates):
Hf1 0.500 0.500 0.500
W1 0.000 0.000 0.000
V1 0.258 0.258 0.226
V2 0.742 0.742 0.774

## Properties
crystal system = trigonal
space group = R-3m, No. 166
calculated volume = 67.08 Å³/f.u.

=====

*c*
First-principles (GGA-PBE) data for a relaxed HfV2W crystal, as listed in Alexandria via LeMat-Bulk.

Cell: 3.186 4.482 4.482 Å, 90.00 90.00 90.00°
Atoms (fractional coordinates):
Hf1 0.500 0.500 0.500
W1 0.500 0.000 0.000
V1 0.000 0.000 0.500
V2 0.000 0.500 0.000

## Properties
crystal system = tetragonal
space group = P4/mmm, No. 123
calculated volume = 64.00 Å³/f.u.

=====

Stability ranking, top entry: *c*; the second entry is 212 meV/atom less favorable.

=====

*a*
First-principles (GGA-PBE) data for a relaxed HfVW3 crystal, as listed in Alexandria via LeMat-Bulk.

Cell: 4.777 4.777 4.777 Å, 90.00 90.00 90.00°
Last column: magnetic moment on the atom in μB.
Atoms (fractional coordinates):
Hf1 0.000 0.000 0.000  0.01
W1 0.000 0.500 0.000  0.07
W2 0.000 0.000 0.500  0.07
W3 0.500 0.000 0.000  0.07
V1 0.500 0.500 0.500  2.45

## Properties
crystal system = cubic
space group = Pm-3m, No. 221
calculated volume = 109.02 Å³/f.u.

=====

*b*
First-principles (GGA-PBE) data for a relaxed HfVW3 crystal, as listed in Alexandria via LeMat-Bulk.

Cell: 4.566 4.566 4.566 Å, 90.00 90.00 90.00°
Atoms (fractional coordinates):
Hf1 0.500 0.500 0.500
W1 0.000 0.500 0.000
W2 0.000 0.000 0.500
W3 0.500 0.000 0.000
V1 0.000 0.000 0.000

## Properties
crystal system = cubic
space group = Pm-3m, No. 221
calculated volume = 95.22 Å³/f.u.

=====

Stability ranking, top entry: *b*; the second entry is 1303 meV/atom less favorable.

=====

*a*
First-principles (GGA-PBE) data for a relaxed Y2HfV crystal, as listed in Alexandria via LeMat-Bulk.

Cell: 5.203 5.203 5.203 Å, 60.00 60.00 60.00°
Last column: magnetic moment on the atom in μB.
Atoms (fractional coordinates):
Y1 0.250 0.250 0.250  -0.03
Y2 0.750 0.750 0.750  -0.03
Hf1 0.500 0.500 0.500  -0.63
V1 0.000 0.000 0.000  2.45

## Properties
crystal system = cubic
space group = Fm-3m, No. 225
calculated volume = 99.59 Å³/f.u.

=====

*b*
First-principles (GGA-PBE) data for a relaxed Y2HfV crystal, as listed in Alexandria via LeMat-Bulk.

Cell: 8.200 8.200 6.560 Å, 51.32 51.32 90.00°
Last column: magnetic moment on the atom in μB.
Atoms (fractional coordinates):
Y1 0.586 0.125 0.250  0.04
Y2 0.164 0.625 0.250  0.04
Y3 0.375 0.414 0.750  0.04
Y4 0.875 0.836 0.750  0.04
Hf1 0.000 0.000 0.000  -0.34
Hf2 0.750 0.250 0.500  -0.34
V1 0.500 0.500 0.000  2.37
V2 0.250 0.750 0.500  2.37

## Properties
crystal system = tetragonal
space group = I-42d, No. 122
calculated volume = 103.15 Å³/f.u.

=====

Stability ranking, top entry: *a*; the second entry is 311 meV/atom less favorable.